GGA-PBE YPuSnRh, relaxed; magnetization = 19.941 μB/cell; formation energy from the elements = -0.408 eV/atom; VASP energy = -8.446 eV/atom; crystal system = cubic
1.0
7.245 0.000 0.000
0.000 7.245 0.000
0.000 0.000 7.245
Y Pu Sn Rh
4 4 4 4
Cartesian
0.000 0.000 0.000
0.000 3.623 3.623
3.623 0.000 3.623
3.623 3.623 0.000
0.000 0.000 3.623
0.000 3.623 0.000
3.623 0.000 0.000
3.623 3.623 3.623
1.811 1.811 1.811
1.811 5.434 5.434
5.434 1.811 5.434
5.434 5.434 1.811
1.811 1.811 5.434
1.811 5.434 1.811
5.434 1.811 1.811
5.434 5.434 5.434



GGA-PBE ZrCdSn2, relaxed; magnetization = 0.000 μB/cell; formation energy from the elements = -0.180 eV/atom; VASP energy = -4.547 eV/atom; crystal system = tetragonal
1.0
3.900 0.000 0.000
0.000 3.900 0.000
0.000 0.000 6.231
Zr Cd Sn
1 1 2
Cartesian
0.000 0.000 0.000
0.000 0.000 3.116
1.950 1.950 1.482
1.950 1.950 4.750



GGA-PBE CsZrCd2, relaxed; magnetization = 0.002 μB/cell; formation energy from the elements = 0.678 eV/atom; VASP energy = -2.130 eV/atom; crystal system = cubic
1.0
7.931 0.000 0.000
0.000 7.931 0.000
0.000 0.000 7.931
Cs Zr Cd
4 4 8
Cartesian
0.000 0.000 0.000
0.000 3.966 3.966
3.966 0.000 3.966
3.966 3.966 0.000
0.000 0.000 3.966
0.000 3.966 0.000
3.966 0.000 0.000
3.966 3.966 3.966
1.983 1.983 1.983
1.983 1.983 5.949
1.983 5.949 1.983
1.983 5.949 5.949
5.949 1.983 1.983
5.949 1.983 5.949
5.949 5.949 1.983
5.949 5.949 5.949



- Which of these has the highest VASP energy?
  CsZrCd2



- Which formula does entry 2 have?
  ZrCdSn2



- Which of these has the lowest VASP energy?
  YPuSnRh



- What is the formula in the second record?
  ZrCdSn2